No. 1
A relaxed structure of VCr3Os. Source: Alexandria, functional PBE.

Values from the calculation:
- Excess energy over the best structure of this formula in the dataset: 1531 meV per atom
- Calculated formation energy: 1.61 eV per atom
- Density of states at the Fermi level: 10.205 states/eV per cell
- M_tot: 12.2 μB/f.u.

a b c (Å): 4.665 4.665 4.665
angles (deg): 90.00 90.00 90.00
Space group Pm-3m (No. 221)
One atom of each set of equivalent atoms:
V: 0.000 0.000 0.000 [1 per cell]
Cr: 0.000 0.500 0.500 [3 per cell]
Os: 0.500 0.500 0.500 [1 per cell]

---

No. 2
A relaxed structure of PaMnSn. Source: Alexandria, functional PBE.

Values from the calculation:
- Calculated formation energy: -0.05 eV per atom
- Density of states at the Fermi level: 3.312 states/eV per cell
- M_tot: 2.0 μB/f.u.

a b c (Å): 4.7252 4.7252 3.3387
angles (deg): 90.00 90.00 120.00
Space group P-6m2 (No. 187)
One atom of each set of equivalent atoms:
Pa: 0.0000 0.0000 0.0000 [1 per cell]
Mn: 0.3333 0.6667 0.5000 [1 per cell]
Sn: 0.6667 0.3333 0.5000 [1 per cell]

---

| no. | total energy (eV per atom) |
| --- | --- |
| 1 | -8.233 |
| 2 | -7.604 |